(1)
Compound: NiRh2S4
Source: the Alexandria database
Functional: GGA-PBE
Structure: optimized geometry

The formation energy from raw total energies comes out at -0.39 eV per atom.

The structure belongs to space group Imma (No. 74); the cell edges are 6.826, 6.885 and 9.848 Å and the angles 90.00°, 90.00° and 90.00°. The inequivalent atoms are Ni at (0.250, 0.250, 0.250), Rh at (0.000, 0.000, 0.000), Rh at (0.000, 0.250, 0.625), S at (0.000, 0.020, 0.242) and S at (0.236, 0.250, 0.017).



(2)
Compound: NiRh3S
Source: the Alexandria database
Functional: GGA-PBE
Structure: optimized geometry

The formation energy from raw total energies comes out at 0.43 eV per atom. The value obtained for the excess energy over the best structure of this formula in the dataset is 0.000 eV per atom.

The structure belongs to space group Pm-3m (No. 221); the cell edges are 4.331, 4.331 and 4.331 Å and the angles 90.00°, 90.00° and 90.00°. The inequivalent atoms are Ni at (0.000, 0.000, 0.000), Rh at (0.000, 0.500, 0.500) and S at (0.500, 0.500, 0.500).



(3)
Compound: NiRh3S
Source: the Alexandria database
Functional: GGA-PBE
Structure: optimized geometry

The formation energy from raw total energies comes out at 1.31 eV per atom. The value obtained for the excess energy over the best structure of this formula in the dataset is 0.886 eV per atom.

The structure belongs to space group Pm-3m (No. 221); the cell edges are 4.495, 4.495 and 4.495 Å and the angles 90.00°, 90.00° and 90.00°. The inequivalent atoms are Ni at (0.000, 0.000, 0.000), Rh at (0.000, 0.000, 0.500) and S at (0.500, 0.500, 0.500).



(4)
Compound: NiRh5S8
Source: the Alexandria database
Functional: GGA-PBE
Structure: optimized geometry

The formation energy from raw total energies comes out at -0.44 eV per atom.

The structure belongs to space group F-43m (No. 216); the cell edges are 9.815, 9.815 and 9.815 Å and the angles 90.00°, 90.00° and 90.00°. The inequivalent atoms are Ni at (0.000, 0.000, 0.000), Rh at (0.127, 0.127, 0.627), Rh at (0.250, 0.250, 0.250), S at (0.116, 0.116, 0.384) and S at (0.130, 0.130, 0.870).